No. 1
A relaxed structure of KTl2Si, computed with PBE.

a = 3.7721 Å, b = 4.0702 Å, c = 7.9313 Å
α = 90.00°, β = 90.00°, γ = 90.00°
Fractional coordinates of all 4 atoms:
K: 0.0000 0.0000 0.0000
Tl: 0.0000 0.0000 0.4335
Tl: 0.5000 0.5000 0.6822
Si: 0.5000 0.5000 0.3148

Calculated values
E above lowest polymorph   0.068 eV per atom
Formation energy (no corrections)   0.19 eV/atom
Space group   Pmm2 (25)

No. 2
A relaxed structure of BaSn3Br, computed with PBE.

a = 6.4384 Å, b = 6.4384 Å, c = 6.4384 Å
α = 90.00°, β = 90.00°, γ = 90.00°
Fractional coordinates of all 5 atoms:
Ba: 0.0000 0.0000 0.0000
Sn: 0.0000 0.0000 0.5000
Sn: 0.0000 0.5000 0.0000
Sn: 0.5000 0.0000 0.0000
Br: 0.5000 0.5000 0.5000

Calculated values
E above lowest polymorph   0.806 eV per atom
Formation energy (no corrections)   0.85 eV/atom
Space group   Pm-3m (221)

No. 3
A relaxed structure of LiDyCd5, computed with PBE.

a = 6.0278 Å, b = 8.7822 Å, c = 6.5643 Å
α = 90.00°, β = 90.00°, γ = 90.00°
Fractional coordinates of all 14 atoms:
Li: 0.0000 0.0000 0.0000
Li: 0.5000 0.5000 0.0000
Dy: 0.0000 0.5000 0.5000
Dy: 0.5000 0.0000 0.5000
Cd: 0.0000 0.5000 0.0000
Cd: 0.2500 0.2500 0.2459
Cd: 0.2500 0.2500 0.7541
Cd: 0.2500 0.7500 0.2459
Cd: 0.2500 0.7500 0.7541
Cd: 0.5000 0.0000 0.0000
Cd: 0.7500 0.2500 0.2459
Cd: 0.7500 0.2500 0.7541
Cd: 0.7500 0.7500 0.2459
Cd: 0.7500 0.7500 0.7541

Calculated values
E_form   -99.8 meV per atom
Space group   Cmmm (65)

No. 4
A relaxed structure of Ce2LuHf, computed with PBE.

a = 3.2935 Å, b = 3.2935 Å, c = 9.9159 Å
α = 90.00°, β = 90.00°, γ = 90.00°
Fractional coordinates of all 4 atoms:
Ce: 0.0000 0.0000 0.2373
Ce: 0.0000 0.0000 0.7627
Lu: 0.5000 0.5000 0.5000
Hf: 0.5000 0.5000 0.0000

Calculated values
E_form   132.1 meV per atom
E above lowest polymorph   0.000 eV per atom
Space group   P4/mmm (123)

No. 5
A relaxed structure of EuRhAu, computed with PBE.

a = 4.4873 Å, b = 4.4873 Å, c = 3.9824 Å
α = 90.00°, β = 90.00°, γ = 120.00°
Fractional coordinates of all 3 atoms:
Eu: 0.0000 0.0000 0.0000
Rh: 0.3333 0.6667 0.5000
Au: 0.6667 0.3333 0.5000

Calculated values
E_form   -410.7 meV per atom
Space group   P-6m2 (187)

No. 6
A relaxed structure of Ho3ScSn2, computed with PBE.

a = 4.4593 Å, b = 4.4593 Å, c = 8.2814 Å
α = 90.00°, β = 90.00°, γ = 90.00°
Fractional coordinates of all 6 atoms:
Ho: 0.0000 0.0000 0.0000
Ho: 0.0000 0.5000 0.6552
Ho: 0.5000 0.0000 0.3448
Sc: 0.5000 0.5000 0.0000
Sn: 0.0000 0.5000 0.2737
Sn: 0.5000 0.0000 0.7263

Calculated values
E_form   -588.3 meV per atom
Space group   P-4m2 (115)

No. 7
A relaxed structure of RbBeZn3, computed with PBE.

a = 6.7127 Å, b = 6.7127 Å, c = 6.7127 Å
α = 90.00°, β = 90.00°, γ = 90.00°
Fractional coordinates of all 5 atoms:
Rb: 0.0000 0.0000 0.0000
Be: 0.5000 0.5000 0.5000
Zn: 0.0000 0.0000 0.5000
Zn: 0.0000 0.5000 0.0000
Zn: 0.5000 0.0000 0.0000

Calculated values
E_form   1347.6 meV per atom
E above lowest polymorph   1.066 eV per atom
Space group   Pm-3m (221)

No. 8
A relaxed structure of Y4Se3O4, computed with PBE.

a = 7.6324 Å, b = 7.6324 Å, c = 7.6324 Å
α = 149.95°, β = 121.17°, γ = 67.47°
Fractional coordinates of all 11 atoms:
Y: 0.2198 0.2198 0.0000
Y: 0.2531 0.5000 0.7531
Y: 0.7469 0.5000 0.2469
Y: 0.7802 0.7802 0.0000
Se: 0.0000 0.0000 0.0000
Se: 0.4022 0.9022 0.5000
Se: 0.5978 0.0978 0.5000
O: 0.0092 0.3262 0.6831
O: 0.3569 0.6738 0.6831
O: 0.6431 0.3262 0.3170
O: 0.9908 0.6738 0.3170

Calculated values
Formation energy (no corrections)   -2.29 eV/atom
Space group   Immm (71)

No. 9
A relaxed structure of PaCoRh2, computed with PBE.

a = 4.0219 Å, b = 4.0219 Å, c = 3.9555 Å
α = 90.00°, β = 90.00°, γ = 90.00°
Fractional coordinates of all 4 atoms:
Pa: 0.0000 0.0000 0.0000
Co: 0.5000 0.5000 0.0000
Rh: 0.0000 0.5000 0.5000
Rh: 0.5000 0.0000 0.5000

Calculated values
E_form   -696.1 meV per atom
E above lowest polymorph   0.000 eV per atom
Space group   P4/mmm (123)

No. 10
A relaxed structure of Pu2CuBi, computed with PBE.

a = 3.3729 Å, b = 3.3729 Å, c = 32.6888 Å
α = 90.00°, β = 90.00°, γ = 120.00°
Fractional coordinates of all 12 atoms:
Pu: 0.0000 0.0000 0.0992
Pu: 0.0000 0.0000 0.9008
Pu: 0.3333 0.6667 0.5674
Pu: 0.3333 0.6667 0.7659
Pu: 0.6667 0.3333 0.2341
Pu: 0.6667 0.3333 0.4326
Cu: 0.0000 0.0000 0.5000
Cu: 0.3333 0.6667 0.1667
Cu: 0.6667 0.3333 0.8333
Bi: 0.0000 0.0000 0.0000
Bi: 0.3333 0.6667 0.6667
Bi: 0.6667 0.3333 0.3333

Calculated values
E_form   285.7 meV per atom
E above lowest polymorph   0.374 eV per atom
Space group   R-3m (166)

No. 11
A relaxed structure of Ga2HgS3, computed with PBE.

a = 6.6554 Å, b = 3.7972 Å, c = 12.0187 Å
α = 90.00°, β = 100.75°, γ = 90.00°
Fractional coordinates of all 12 atoms:
Ga: 0.1484 0.2500 0.4084
Ga: 0.1638 0.2500 0.0801
Ga: 0.8362 0.7500 0.9199
Ga: 0.8516 0.7500 0.5916
Hg: 0.4016 0.2500 0.7111
Hg: 0.5984 0.7500 0.2889
S: 0.0239 0.2500 0.8806
S: 0.2445 0.7500 0.5616
S: 0.4988 0.2500 0.1381
S: 0.5012 0.7500 0.8619
S: 0.7555 0.2500 0.4384
S: 0.9761 0.7500 0.1194

Calculated values
Formation energy (no corrections)   -0.27 eV/atom
Space group   P2_1/m (11)

No. 12
A relaxed structure of CuTePdN2, computed with PBE.

a = 3.9415 Å, b = 3.9415 Å, c = 5.8188 Å
α = 90.00°, β = 90.00°, γ = 90.00°
Fractional coordinates of all 5 atoms:
Cu: 0.0000 0.0000 0.0000
Te: 0.5000 0.5000 0.0000
Pd: 0.5000 0.5000 0.5000
N: 0.0000 0.5000 0.5000
N: 0.5000 0.0000 0.5000

Calculated values
E above lowest polymorph   0.000 eV per atom
Formation energy (no corrections)   1.39 eV/atom
Space group   P4/mmm (123)

Calculated volume for every record listed, in sequence, given in Å³/atom: 30.4, 53.4, 24.8, 26.9, 23.1, 27.4, 60.5, 17.1, 16.0, 26.8, 24.9, 18.1.
Spin magnetization for every record listed, in sequence, given in μB/cell: 0.0, 2.5, 0.0, 0.7, 6.8, 0.0, 0.0, 0.0, 1.4, 36.1, 0.0, 3.5.
E for every record listed, in sequence, given in eV per atom: -2.6276, -2.2697, -1.6843, -6.4535, -7.3784, -5.2667, -0.3556, -7.3893, -8.5222, -8.8746, -3.3905, -4.4311.